Here is crystalline LaPrDy2Y2 at its relaxed geometry from Alexandria via LeMat-Bulk. Energies are from PBE. Values from VASP.

```
&SYSTEM
  ibrav = 0, nat = 12, ntyp = 4
/
ATOMIC_SPECIES
La 138.91 La.upf
Pr 140.91 Pr.upf
Dy 162.50 Dy.upf
Y 88.91 Y.upf
ATOMIC_POSITIONS crystal
La 0.000 0.000 0.000
La 0.500 0.500 0.500
Pr 0.500 0.500 0.000
Pr 0.000 0.000 0.500
Dy 0.500 0.275 0.317
Dy 0.000 0.775 0.183
Dy 0.500 0.725 0.683
Dy 0.000 0.225 0.817
Y 0.500 0.777 0.348
Y 0.500 0.223 0.652
Y 0.000 0.723 0.848
Y 0.000 0.277 0.152
CELL_PARAMETERS angstrom
-2.087 -1.237 2.401
-4.447 -1.635 -4.708
7.704 -16.202 -1.652
```

Summary:
**Crystal system**: orthorhombic
**SG**: Pnnm (58)
**Total DFT energy (no corrections)**: -0.1846 Ha/atom
**D(E_F)**: 1.81 states/eV/atom